An optimized crystal structure of Y3CoPb, computed with PBE.

- Fermi-level density of states: 5.90 states/eV per cell
- SG: C2/m
- Energy above the lowest structure with this stoichiometry: 0.72 eV/f.u.
- Energy of formation from the pure elements: -20 kJ/mol of atoms

```
Y3CoPb
1.0
19.312 0.000 0.219
7.068 2.187 -3.015
-7.068 2.187 3.015
Y Pb Co
6 2 2
direct
0.521 0.649 0.351 Y
0.248 0.797 0.203 Y
0.479 0.351 0.649 Y
0.752 0.203 0.797 Y
0.133 0.242 0.758 Y
0.867 0.758 0.242 Y
0.202 0.507 0.493 Pb
0.798 0.493 0.507 Pb
0.571 0.986 0.014 Co
0.429 0.014 0.986 Co
```


An optimized crystal structure of Y3CoPb, computed with PBE.

- Fermi-level density of states: 5.14 states/eV per cell
- SG: Amm2
- Energy above the lowest structure with this stoichiometry: 3.66 eV/f.u.
- Energy of formation from the pure elements: 37 kJ/mol of atoms

```
Y3CoPb
1.0
3.619 0.000 0.000
0.000 3.711 -8.004
0.000 3.711 8.004
Y Pb Co
3 1 1
direct
0.000 0.258 0.742 Y
0.500 0.186 0.322 Y
0.500 0.678 0.814 Y
0.500 0.092 0.908 Pb
0.000 0.414 0.586 Co
```


An optimized crystal structure of Y3CoPb, computed with PBE.

- Fermi-level density of states: 7.53 states/eV per cell
- SG: Cmcm
- Energy above the lowest structure with this stoichiometry: 3.21 eV/f.u.
- Energy of formation from the pure elements: 28 kJ/mol of atoms

```
Y3CoPb
1.0
-4.061 2.235 7.499
-1.949 -4.593 -7.268
1.917 -4.651 2.425
Y Pb Co
6 2 2
direct
0.413 0.107 0.750 Y
0.000 0.000 0.000 Y
0.587 0.893 0.250 Y
0.000 0.000 0.500 Y
0.107 0.413 0.250 Y
0.893 0.587 0.750 Y
0.823 0.177 0.750 Pb
0.177 0.823 0.250 Pb
0.483 0.517 0.250 Co
0.517 0.483 0.750 Co
```


An optimized crystal structure of YCoPb3, computed with PBE.

- Fermi-level density of states: 9.44 states/eV per cell
- SG: Pm-3m
- Energy above the lowest structure with this stoichiometry: 4.88 eV/f.u.
- Energy of formation from the pure elements: 111 kJ/mol of atoms

```
YCoPb3
1.0
5.850 0.000 0.000
0.000 5.850 0.000
0.000 0.000 5.850
Y Pb Co
1 3 1
direct
0.000 0.000 0.000 Y
0.000 0.000 0.500 Pb
0.000 0.500 0.000 Pb
0.500 0.000 0.000 Pb
0.500 0.500 0.500 Co
```


An optimized crystal structure of Y2CoPb, computed with PBE.

- Fermi-level density of states: 4.83 states/eV per cell
- SG: F-43m
- Energy of formation from the pure elements: 15 kJ/mol of atoms

```
Y2CoPb
1.0
-2.768 2.497 -3.378
-4.428 -1.861 -1.494
-4.276 2.241 1.414
Pb Y Co
1 2 1
direct
0.750 0.750 0.750 Pb
0.000 0.000 0.000 Y
0.250 0.250 0.250 Y
0.500 0.500 0.500 Co
```


An optimized crystal structure of YCo3Pb, computed with PBE.

- Fermi-level density of states: 7.24 states/eV per cell
- SG: Pm-3m
- Energy above the lowest structure with this stoichiometry: 0.00 eV/f.u.
- Energy of formation from the pure elements: 94 kJ/mol of atoms

```
YCo3Pb
1.0
4.779 0.000 0.000
0.000 4.779 0.000
0.000 0.000 4.779
Y Co Pb
1 3 1
direct
0.500 0.500 0.500 Y
0.000 0.000 0.500 Co
0.500 0.000 0.000 Co
0.000 0.500 0.000 Co
0.000 0.000 0.000 Pb
```


An optimized crystal structure of Y2CoPb, computed with PBE.

- Fermi-level density of states: 2.18 states/eV per cell
- SG: P4/mmm
- Energy of formation from the pure elements: -16 kJ/mol of atoms

```
Y2CoPb
1.0
-3.546 4.714 5.499
-2.157 -2.899 -3.451
-2.173 -1.655 2.749
Pb Y Co
1 2 1
direct
0.500 0.500 0.000 Pb
0.000 0.000 0.000 Y
0.500 0.000 0.500 Y
0.000 0.500 0.500 Co
```


An optimized crystal structure of Y3CoPb, computed with PBE.

- Fermi-level density of states: 15.73 states/eV per cell
- SG: P2_1/c
- Energy above the lowest structure with this stoichiometry: 0.60 eV/f.u.
- Energy of formation from the pure elements: -22 kJ/mol of atoms

```
Y3CoPb
1.0
23.567 0.000 1.572
0.000 7.786 0.000
-7.815 0.000 2.443
Co Y Pb
4 12 4
direct
0.564 0.578 0.773 Co
0.064 0.922 0.273 Co
0.436 0.422 0.227 Co
0.936 0.078 0.727 Co
0.514 0.809 0.895 Y
0.145 0.293 0.451 Y
0.014 0.691 0.395 Y
0.855 0.707 0.549 Y
0.853 0.080 0.868 Y
0.486 0.191 0.105 Y
0.647 0.580 0.632 Y
0.986 0.309 0.605 Y
0.645 0.207 0.951 Y
0.353 0.420 0.368 Y
0.147 0.920 0.132 Y
0.355 0.793 0.049 Y
0.228 0.047 0.993 Pb
0.728 0.453 0.493 Pb
0.772 0.953 0.007 Pb
0.272 0.547 0.507 Pb
```